1.
An optimized crystal structure of PmCr2FeN4, computed with PBE-GGA.

Summary:
ΔE_f (raw), meV per atom: -461
Raw total energy, eV for the cell shown: -138.9
Volume, Å³/atom: 10.6

Structure (POSCAR):
```
PmCr2FeN4
1.0
1.572 -5.306 0.000
1.572 5.306 0.000
0.000 0.000 10.204
Pm Cr Fe N
2 4 2 8
Direct
0.110 0.890 0.750
0.890 0.110 0.250
0.368 0.632 0.552
0.368 0.632 0.948
0.632 0.368 0.052
0.632 0.368 0.448
0.154 0.846 0.250
0.846 0.154 0.750
0.000 0.000 0.000
0.000 0.000 0.500
0.260 0.740 0.106
0.260 0.740 0.394
0.439 0.561 0.750
0.561 0.439 0.250
0.740 0.260 0.606
0.740 0.260 0.894
```

2.
An optimized crystal structure of Cr2FePtN, computed with PBE-GGA.

Summary:
ΔE_f (raw), meV per atom: -246
Raw total energy, eV for the cell shown: -43.3
Volume, Å³/atom: 11.1

Structure (POSCAR):
```
Cr2FePtN
1.0
3.827 0.000 0.000
0.000 3.827 0.000
0.000 0.000 3.798
Cr Fe Pt N
2 1 1 1
Direct
0.000 0.500 0.000
0.500 0.000 0.000
0.000 0.000 0.500
0.500 0.500 0.500
0.000 0.000 0.000
```

3.
An optimized crystal structure of RbCrFeN2, computed with PBE-GGA.

Summary:
ΔE_f (raw), meV per atom: 1261
Raw total energy, eV for the cell shown: -29.4
Volume, Å³/atom: 14.6

Structure (POSCAR):
```
RbCrFeN2
1.0
3.919 0.000 0.000
0.000 3.919 0.000
0.000 0.000 4.767
Rb Cr Fe N
1 1 1 2
Direct
0.000 0.000 0.000
0.500 0.500 0.000
0.500 0.500 0.500
0.000 0.500 0.500
0.500 0.000 0.500
```

4.
An optimized crystal structure of CrFe2RhN, computed with PBE-GGA.

Summary:
ΔE_f (raw), meV per atom: -56
Raw total energy, eV for the cell shown: -42.5
Volume, Å³/atom: 10.7

Structure (POSCAR):
```
CrFe2RhN
1.0
3.750 0.000 0.000
0.000 3.750 0.000
0.000 0.000 3.821
Cr Fe Rh N
1 2 1 1
Direct
0.000 0.000 0.000
0.000 0.500 0.500
0.500 0.000 0.500
0.500 0.500 0.000
0.000 0.000 0.500
```

5.
An optimized crystal structure of Cr2FeRhN, computed with PBE-GGA.

Summary:
ΔE_f (raw), meV per atom: -206
Raw total energy, eV for the cell shown: -44.4
Volume, Å³/atom: 11.3

Structure (POSCAR):
```
Cr2FeRhN
1.0
3.843 0.000 0.000
0.000 3.843 0.000
0.000 0.000 3.813
Cr Fe Rh N
2 1 1 1
Direct
0.000 0.500 0.000
0.500 0.000 0.000
0.000 0.000 0.500
0.500 0.500 0.500
0.000 0.000 0.000
```

6.
An optimized crystal structure of CrFe2RuN, computed with PBE-GGA.

Summary:
ΔE_f (raw), meV per atom: 32
Raw total energy, eV for the cell shown: -44.0
Volume, Å³/atom: 10.6

Structure (POSCAR):
```
CrFe2RuN
1.0
3.719 0.000 0.000
0.000 3.719 0.000
0.000 0.000 3.839
Cr Fe Ru N
1 2 1 1
Direct
0.000 0.000 0.000
0.000 0.500 0.500
0.500 0.000 0.500
0.500 0.500 0.000
0.000 0.000 0.500
```

7.
An optimized crystal structure of CrFeS2N, computed with PBE-GGA.

Summary:
Relative energy among the computed polymorphs, eV/f.u.: 0.40
ΔE_f (raw), meV per atom: 391
Raw total energy, eV for the cell shown: -32.7
Volume, Å³/atom: 15.3

Structure (POSCAR):
```
CrFeS2N
1.0
4.693 0.000 0.000
0.000 4.693 0.000
0.000 0.000 3.481
Cr Fe S N
1 1 2 1
Direct
0.000 0.000 0.000
0.500 0.500 0.500
0.000 0.500 0.000
0.500 0.000 0.000
0.000 0.000 0.500
```

8.
An optimized crystal structure of CrFeSN2, computed with PBE-GGA.

Summary:
Relative energy among the computed polymorphs, eV/f.u.: 0.00
ΔE_f (raw), meV per atom: 552
Raw total energy, eV for the cell shown: -36.1
Volume, Å³/atom: 12.9

Structure (POSCAR):
```
CrFeSN2
1.0
3.606 0.000 0.000
0.000 3.606 0.000
0.000 0.000 4.970
Cr Fe S N
1 1 1 2
Direct
0.000 0.000 0.000
0.500 0.500 0.500
0.000 0.000 0.500
0.000 0.500 0.000
0.500 0.000 0.000
```

9.
An optimized crystal structure of CrFeS2N, computed with PBE-GGA.

Summary:
Relative energy among the computed polymorphs, eV/f.u.: 0.00
ΔE_f (raw), meV per atom: 311
Raw total energy, eV for the cell shown: -33.1
Volume, Å³/atom: 14.5

Structure (POSCAR):
```
CrFeS2N
1.0
4.618 0.000 0.000
0.000 4.618 0.000
0.000 0.000 3.391
Cr Fe S N
1 1 2 1
Direct
0.000 0.000 0.000
0.500 0.500 0.500
0.000 0.500 0.500
0.500 0.000 0.500
0.500 0.500 0.000
```

10.
An optimized crystal structure of CrFeSN2, computed with PBE-GGA.

Summary:
Relative energy among the computed polymorphs, eV/f.u.: 0.48
ΔE_f (raw), meV per atom: 648
Raw total energy, eV for the cell shown: -35.6
Volume, Å³/atom: 12.6

Structure (POSCAR):
```
CrFeSN2
1.0
3.552 0.000 0.000
0.000 3.552 0.000
0.000 0.000 5.012
Cr Fe S N
1 1 1 2
Direct
0.000 0.000 0.000
0.500 0.500 0.500
0.500 0.500 0.000
0.000 0.500 0.500
0.500 0.000 0.500
```

11.
An optimized crystal structure of CrFeS2N, computed with PBE-GGA.

Summary:
Relative energy among the computed polymorphs, eV/f.u.: 6.97
ΔE_f (raw), meV per atom: 1705
Raw total energy, eV for the cell shown: -26.1
Volume, Å³/atom: 15.4

Structure (POSCAR):
```
CrFeS2N
1.0
4.128 0.000 0.000
0.000 4.128 0.000
0.000 0.000 4.513
Cr Fe S N
1 1 2 1
Direct
0.000 0.000 0.000
0.000 0.000 0.500
0.000 0.500 0.500
0.500 0.000 0.500
0.500 0.500 0.000
```

12.
An optimized crystal structure of Cr2FeSbN, computed with PBE-GGA.

Summary:
ΔE_f (raw), meV per atom: -92
Raw total energy, eV for the cell shown: -40.6
Volume, Å³/atom: 12.2

Structure (POSCAR):
```
Cr2FeSbN
1.0
3.919 0.000 0.000
0.000 3.919 0.000
0.000 0.000 3.968
Cr Fe Sb N
2 1 1 1
Direct
0.000 0.500 0.000
0.500 0.000 0.000
0.000 0.000 0.500
0.500 0.500 0.500
0.000 0.000 0.000
```